1.
# LiSb2As, relaxed, DFT PBE-GGA
data_LiSb2As
_symmetry_space_group_name_H-M 'P 4 m m'
_symmetry_Int_Tables_number 99
_symmetry_space_group_name_Hall 'P 4 -2'
_cell_length_a 3.792
_cell_length_b 3.792
_cell_length_c 6.597
_cell_angle_alpha 90.00
_cell_angle_beta 90.00
_cell_angle_gamma 90.00
loop_
_atom_site_label
_atom_site_type_symbol
_atom_site_fract_x
_atom_site_fract_y
_atom_site_fract_z
Li1 Li 0.000 0.000 0.000
Sb1 Sb 0.000 0.000 0.568
Sb2 Sb 0.500 0.500 0.162
As1 As 0.500 0.500 0.743
# Electronic total energy in eV per atom: -3.7458
# E_form (uncorrected) in eV/atom: -0.0438
# Total moment in μB/atom: 0.000

---

2.
# BaScPb3, relaxed, DFT PBE-GGA
data_BaScPb3
_symmetry_space_group_name_H-M 'P m -3 m'
_symmetry_Int_Tables_number 221
_symmetry_space_group_name_Hall '-P 4 2 3'
_cell_length_a 6.105
_cell_length_b 6.105
_cell_length_c 6.105
_cell_angle_alpha 90.00
_cell_angle_beta 90.00
_cell_angle_gamma 90.00
loop_
_atom_site_label
_atom_site_type_symbol
_atom_site_fract_x
_atom_site_fract_y
_atom_site_fract_z
Ba1 Ba 0.000 0.000 0.000
Sc1 Sc 0.500 0.500 0.500
Pb1 Pb 0.000 0.000 0.500
# Electronic total energy in eV per atom: -2.8819
# Energy above the lowest structure with this stoichiometry in meV/atom: 1249
# Formation energy in eV per atom: 0.994
# Total moment in μB/atom: 0.000

---

3.
# SrWSeS2, relaxed, DFT PBE-GGA
data_SrWSeS2
_symmetry_space_group_name_H-M 'P 4/m m m'
_symmetry_Int_Tables_number 123
_symmetry_space_group_name_Hall '-P 4 2'
_cell_length_a 5.025
_cell_length_b 5.025
_cell_length_c 5.536
_cell_angle_alpha 90.00
_cell_angle_beta 90.00
_cell_angle_gamma 90.00
loop_
_atom_site_label
_atom_site_type_symbol
_atom_site_fract_x
_atom_site_fract_y
_atom_site_fract_z
Sr1 Sr 0.000 0.000 0.000
W1 W 0.500 0.500 0.000
Se1 Se 0.000 0.000 0.500
S1 S 0.000 0.500 0.500
# Electronic total energy in eV per atom: -4.1649
# E_form (uncorrected) in eV/atom: 1.1100
# Total moment in μB/atom: 0.919

---

4.
# K3TaNi, relaxed, DFT PBE-GGA
data_K3TaNi
_symmetry_space_group_name_H-M 'P m -3 m'
_symmetry_Int_Tables_number 221
_symmetry_space_group_name_Hall '-P 4 2 3'
_cell_length_a 6.027
_cell_length_b 6.027
_cell_length_c 6.027
_cell_angle_alpha 90.00
_cell_angle_beta 90.00
_cell_angle_gamma 90.00
loop_
_atom_site_label
_atom_site_type_symbol
_atom_site_fract_x
_atom_site_fract_y
_atom_site_fract_z
K1 K 0.000 0.000 0.500
Ta1 Ta 0.500 0.500 0.500
Ni1 Ni 0.000 0.000 0.000
# Electronic total energy in eV per atom: -2.5370
# Formation energy in eV per atom: 1.648
# Total moment in μB/atom: 0.800

---

5.
# TlSiRu2, relaxed, DFT PBE-GGA
data_TlSiRu2
_symmetry_space_group_name_H-M 'R -3 m'
_symmetry_Int_Tables_number 166
_symmetry_space_group_name_Hall '-R 3 2"'
_cell_length_a 2.9825
_cell_length_b 2.9825
_cell_length_c 24.9496
_cell_angle_alpha 90.00
_cell_angle_beta 90.00
_cell_angle_gamma 120.00
loop_
_atom_site_label
_atom_site_type_symbol
_atom_site_fract_x
_atom_site_fract_y
_atom_site_fract_z
Tl1 Tl 0.0000 0.0000 0.0000
Si1 Si 0.0000 0.0000 0.5000
Ru1 Ru 0.0000 0.0000 0.2368
# Electronic total energy in eV per atom: -6.4731
# Energy above the lowest structure with this stoichiometry in meV/atom: 138
# E_form (uncorrected) in eV/atom: 0.1122
# Total moment in μB/atom: 0.000

---

6.
# Pm2AsSe, relaxed, DFT PBE-GGA
data_Pm2AsSe
_symmetry_space_group_name_H-M 'F m -3 m'
_symmetry_Int_Tables_number 225
_symmetry_space_group_name_Hall '-F 4 2 3'
_cell_length_a 7.303
_cell_length_b 7.303
_cell_length_c 7.303
_cell_angle_alpha 90.00
_cell_angle_beta 90.00
_cell_angle_gamma 90.00
loop_
_atom_site_label
_atom_site_type_symbol
_atom_site_fract_x
_atom_site_fract_y
_atom_site_fract_z
Pm1 Pm 0.250 0.250 0.250
As1 As 0.000 0.000 0.000
Se1 Se 0.000 0.000 0.500
# Electronic total energy in eV per atom: -5.7787
# Energy above the lowest structure with this stoichiometry in meV/atom: 372
# E_form (uncorrected) in eV/atom: -1.3699
# Total moment in μB/atom: 0.105

---

7.
# VCoRu3, relaxed, DFT PBE-GGA
data_VCoRu3
_symmetry_space_group_name_H-M 'P m -3 m'
_symmetry_Int_Tables_number 221
_symmetry_space_group_name_Hall '-P 4 2 3'
_cell_length_a 4.375
_cell_length_b 4.375
_cell_length_c 4.375
_cell_angle_alpha 90.00
_cell_angle_beta 90.00
_cell_angle_gamma 90.00
loop_
_atom_site_label
_atom_site_type_symbol
_atom_site_fract_x
_atom_site_fract_y
_atom_site_fract_z
V1 V 0.000 0.000 0.000
Co1 Co 0.500 0.500 0.500
Ru1 Ru 0.000 0.500 0.500
# Electronic total energy in eV per atom: -7.4521
# Energy above the lowest structure with this stoichiometry in meV/atom: 1379
# Formation energy in eV per atom: 1.358
# Total moment in μB/atom: 0.879

---

8.
# PaB3H12, relaxed, DFT PBE-GGA
data_PaB3H12
_symmetry_space_group_name_H-M 'R -3 c'
_symmetry_Int_Tables_number 167
_symmetry_space_group_name_Hall '-R 3 2"c'
_cell_length_a 7.9409
_cell_length_b 7.9409
_cell_length_c 19.5916
_cell_angle_alpha 90.00
_cell_angle_beta 90.00
_cell_angle_gamma 120.00
loop_
_atom_site_label
_atom_site_type_symbol
_atom_site_fract_x
_atom_site_fract_y
_atom_site_fract_z
Pa1 Pa 0.0000 0.0000 0.0000
B1 B 0.0000 0.4987 0.2500
H1 H 0.0020 0.1901 0.5929
H2 H 0.0196 0.4195 0.6992
# Electronic total energy in eV per atom: -4.5401
# Total moment in μB/atom: 0.125

---

9.
# Sm3Y3Ho5, relaxed, DFT PBE-GGA
data_Sm3Y3Ho5
_symmetry_space_group_name_H-M 'P -6 2 m'
_symmetry_Int_Tables_number 189
_symmetry_space_group_name_Hall 'P -6 -2'
_cell_length_a 9.6249
_cell_length_b 9.6249
_cell_length_c 5.5313
_cell_angle_alpha 90.00
_cell_angle_beta 90.00
_cell_angle_gamma 120.00
loop_
_atom_site_label
_atom_site_type_symbol
_atom_site_fract_x
_atom_site_fract_y
_atom_site_fract_z
Sm1 Sm 0.0000 0.3655 0.0000
Y1 Y 0.0000 0.5477 0.5000
Ho1 Ho 0.0000 0.7300 0.0000
Ho2 Ho 0.3333 0.6667 0.0000
# Electronic total energy in eV per atom: -4.3169
# Formation energy in eV per atom: 0.814
# Total moment in μB/atom: 0.001

---

10.
# La2TbSm6, relaxed, DFT PBE-GGA
data_La2TbSm6
_symmetry_space_group_name_H-M 'C 1 2/m 1'
_symmetry_Int_Tables_number 12
_symmetry_space_group_name_Hall '-C 2y'
_cell_length_a 11.550
_cell_length_b 5.165
_cell_length_c 10.961
_cell_angle_alpha 90.00
_cell_angle_beta 108.55
_cell_angle_gamma 90.00
loop_
_atom_site_label
_atom_site_type_symbol
_atom_site_fract_x
_atom_site_fract_y
_atom_site_fract_z
La1 La 0.166 0.000 0.221
Tb1 Tb 0.000 0.500 0.000
Sm1 Sm 0.000 0.500 0.334
Sm2 Sm 0.166 0.000 0.556
Sm3 Sm 0.167 0.000 0.889
# Electronic total energy in eV per atom: -4.7338
# Energy above the lowest structure with this stoichiometry in meV/atom: 0
# Formation energy in eV per atom: 0.022
# Total moment in μB/atom: 0.000

---

11.
# PrMg2Al3Au6, relaxed, DFT PBE-GGA
data_PrMg2Al3Au6
_symmetry_space_group_name_H-M 'P 4/m m m'
_symmetry_Int_Tables_number 123
_symmetry_space_group_name_Hall '-P 4 2'
_cell_length_a 4.270
_cell_length_b 4.270
_cell_length_c 14.198
_cell_angle_alpha 90.00
_cell_angle_beta 90.00
_cell_angle_gamma 90.00
loop_
_atom_site_label
_atom_site_type_symbol
_atom_site_fract_x
_atom_site_fract_y
_atom_site_fract_z
Pr1 Pr 0.000 0.000 0.000
Mg1 Mg 0.000 0.000 0.337
Al1 Al 0.500 0.500 0.091
Al2 Al 0.500 0.500 0.500
Au1 Au 0.000 0.500 0.190
Au2 Au 0.500 0.500 0.332
# Electronic total energy in eV per atom: -3.6456
# Formation energy in eV per atom: -0.407
# Total moment in μB/atom: 0.000

---

12.
# CuSbI2N, relaxed, DFT PBE-GGA
data_CuSbI2N
_symmetry_space_group_name_H-M 'P 4/m m m'
_symmetry_Int_Tables_number 123
_symmetry_space_group_name_Hall '-P 4 2'
_cell_length_a 6.119
_cell_length_b 6.119
_cell_length_c 3.954
_cell_angle_alpha 90.00
_cell_angle_beta 90.00
_cell_angle_gamma 90.00
loop_
_atom_site_label
_atom_site_type_symbol
_atom_site_fract_x
_atom_site_fract_y
_atom_site_fract_z
Cu1 Cu 0.000 0.000 0.000
Sb1 Sb 0.500 0.500 0.500
I1 I 0.000 0.500 0.500
N1 N 0.500 0.500 0.000
# Electronic total energy in eV per atom: -3.0479
# Energy above the lowest structure with this stoichiometry in meV/atom: 117
# E_form (uncorrected) in eV/atom: 0.8809
# Total moment in μB/atom: 0.000

---

> Among the records above, which one has the lowest electronic total energy?

VCoRu3

---

> Among the records above, which one has the lowest electronic total energy?

VCoRu3

---

> Number 9 is which compound?

Sm3Y3Ho5